Here is a relaxed structure of Ta8Ge2C3N3 from OQMD. Energies are from GGA-PBE.

Output
For the total energy, the calculation gives -10.386 eV per atom.

a b c (Å): 3.161 3.161 23.206
angles (deg): 90.00 90.00 120.00
Positions (direct):
1 Ta 0.000 0.000 0.161
2 Ta 0.000 0.000 0.338
3 Ta 0.000 0.000 0.662
4 Ta 0.000 0.000 0.839
5 Ta 0.333 0.667 0.557
6 Ta 0.333 0.667 0.946
7 Ta 0.667 0.333 0.054
8 Ta 0.667 0.333 0.443
9 Ge 0.333 0.667 0.752
10 Ge 0.667 0.333 0.248
11 C 0.000 0.000 0.500
12 C 0.333 0.667 0.388
13 C 0.667 0.333 0.612
14 N 0.000 0.000 0.000
15 N 0.333 0.667 0.108
16 N 0.667 0.333 0.892